First-principles (meta-GGA SCAN) data for a PBEsol-optimized structure of ScAu2Br, as listed in Alexandria.

POSCAR file:
```
ScAu2Br
1.0
-0.138 -1.886 3.472
-2.085 -2.698 -1.549
4.382 -2.657 -1.270
Br Au Sc
1 2 1
Direct
0.500 0.000 0.500
0.000 0.000 0.000
0.500 0.500 0.000
0.000 0.500 0.500
```

Values from the calculation:
ΔE_f (raw) in kcal/mol of atoms: -11.07
Total DFT energy (no corrections) in eV per atom: -43.483
DOS at the Fermi energy in states/eV/f.u.: 2.1
SG: Pmmm, No. 47
Crystal system: orthorhombic
V in Å³ per atom: 19.54